No. 1
# YHo5In4, relaxed, DFT PBE
data_YHo5In4
_symmetry_space_group_name_H-M 'P 4/m m m'
_symmetry_Int_Tables_number 123
_symmetry_space_group_name_Hall '-P 4 2'
_cell_length_a 3.566
_cell_length_b 3.566
_cell_length_c 21.584
_cell_angle_alpha 90.00
_cell_angle_beta 90.00
_cell_angle_gamma 90.00
loop_
_atom_site_label
_atom_site_type_symbol
_atom_site_fract_x
_atom_site_fract_y
_atom_site_fract_z
Y1 Y 0.000 0.000 0.000
Ho1 Ho 0.500 0.500 0.115
Ho2 Ho 0.500 0.500 0.307
Ho3 Ho 0.500 0.500 0.500
In1 In 0.000 0.000 0.211
In2 In 0.000 0.000 0.404
# - Size of the total moment: 0.00 μB/cell
# - Theoretical density: 8.31 g cm⁻³
# - Calculated formation energy: -370 meV/atom

***

No. 2
# Cr4Ge2H, relaxed, DFT PBE
data_Cr4Ge2H
_symmetry_space_group_name_H-M 'I 4/m m m'
_symmetry_Int_Tables_number 139
_symmetry_space_group_name_Hall '-I 4 2'
_cell_length_a 3.664
_cell_length_b 3.664
_cell_length_c 12.614
_cell_angle_alpha 90.00
_cell_angle_beta 90.00
_cell_angle_gamma 90.00
loop_
_atom_site_label
_atom_site_type_symbol
_atom_site_fract_x
_atom_site_fract_y
_atom_site_fract_z
Cr1 Cr 0.000 0.000 0.161
Cr2 Cr 0.000 0.500 0.000
Ge1 Ge 0.000 0.000 0.359
H1 H 0.000 0.000 0.000
# - E_tot: -7.27 eV/atom
# - Size of the total moment: 5.63 μB/cell
# - Theoretical density: 6.95 g cm⁻³

***

No. 3
# Th2Tl2C, relaxed, DFT PBE
data_Th2Tl2C
_symmetry_space_group_name_H-M 'R -3 m'
_symmetry_Int_Tables_number 166
_symmetry_space_group_name_Hall '-R 3 2"'
_cell_length_a 3.6844
_cell_length_b 3.6844
_cell_length_c 33.0715
_cell_angle_alpha 90.00
_cell_angle_beta 90.00
_cell_angle_gamma 120.00
loop_
_atom_site_label
_atom_site_type_symbol
_atom_site_fract_x
_atom_site_fract_y
_atom_site_fract_z
Th1 Th 0.0000 0.0000 0.1229
Tl1 Tl 0.0000 0.0000 0.2960
C1 C 0.0000 0.0000 0.5000
# - Size of the total moment: 0.00 μB/cell
# - Theoretical density: 11.34 g cm⁻³
# - Calculated formation energy: -231 meV/atom

***

No. 4
# HIr2RhW, relaxed, DFT PBE
data_HIr2RhW
_symmetry_space_group_name_H-M 'P 4/m m m'
_symmetry_Int_Tables_number 123
_symmetry_space_group_name_Hall '-P 4 2'
_cell_length_a 3.958
_cell_length_b 3.958
_cell_length_c 3.921
_cell_angle_alpha 90.00
_cell_angle_beta 90.00
_cell_angle_gamma 90.00
loop_
_atom_site_label
_atom_site_type_symbol
_atom_site_fract_x
_atom_site_fract_y
_atom_site_fract_z
H1 H 0.000 0.000 0.000
Ir1 Ir 0.000 0.500 0.000
Rh1 Rh 0.000 0.000 0.500
W1 W 0.500 0.500 0.500
# - E_tot: -8.30 eV/atom
# - Size of the total moment: 0.09 μB/cell
# - Theoretical density: 18.17 g cm⁻³

***

No. 5
# AcBr, relaxed, DFT PBE
data_AcBr
_symmetry_space_group_name_H-M 'P 4/n m m'
_symmetry_Int_Tables_number 129
_cell_length_a 4.385
_cell_length_b 4.385
_cell_length_c 7.495
_cell_angle_alpha 90.00
_cell_angle_beta 90.00
_cell_angle_gamma 90.00
loop_
_symmetry_equiv_pos_as_xyz
'x,y,z'
'-x,-y,-z'
'-y+1/2,x,z'
'y+1/2,-x,-z'
'-x+1/2,-y+1/2,z'
'x+1/2,y+1/2,-z'
'y,-x+1/2,z'
'-y,x+1/2,-z'
'x+1/2,-y,-z'
'-x+1/2,y,z'
'-y,-x,-z'
'y,x,z'
'-x,y+1/2,-z'
'x,-y+1/2,z'
'y+1/2,x+1/2,-z'
'-y+1/2,-x+1/2,z'
loop_
_atom_site_label
_atom_site_type_symbol
_atom_site_fract_x
_atom_site_fract_y
_atom_site_fract_z
Ac1 Ac 0.250 0.250 0.187
Br1 Br 0.250 0.250 0.643
# - Size of the total moment: 0.00 μB/cell
# - Energy relative to the elements, uncorrected: -1206 meV per atom
# - Theoretical density: 7.07 g cm⁻³
# - Polymorph energy (0 for the lowest one): 0.00 eV/f.u.

***

No. 6
# BaZr2W, relaxed, DFT PBE
data_BaZr2W
_symmetry_space_group_name_H-M 'I m m 2'
_symmetry_Int_Tables_number 44
_cell_length_a 3.434
_cell_length_b 4.582
_cell_length_c 15.285
_cell_angle_alpha 90.00
_cell_angle_beta 90.00
_cell_angle_gamma 90.00
loop_
_symmetry_equiv_pos_as_xyz
'x,y,z'
'-x,-y,z'
'-x,y,z'
'x,-y,z'
'x+1/2,y+1/2,z+1/2'
'-x+1/2,-y+1/2,z+1/2'
'-x+1/2,y+1/2,z+1/2'
'x+1/2,-y+1/2,z+1/2'
loop_
_atom_site_label
_atom_site_type_symbol
_atom_site_fract_x
_atom_site_fract_y
_atom_site_fract_z
Ba1 Ba 0.000 0.000 0.000
Zr1 Zr 0.000 0.000 0.334
Zr2 Zr 0.000 0.500 0.203
W1 W 0.000 0.500 0.700
# - Size of the total moment: 0.00 μB/cell
# - Theoretical density: 6.95 g cm⁻³
# - Calculated formation energy: 656 meV/atom
# - Polymorph energy (0 for the lowest one): 1.26 eV/f.u.

***

No. 7
# ZrCo3Pd, relaxed, DFT PBE
data_ZrCo3Pd
_symmetry_space_group_name_H-M 'P m -3 m'
_symmetry_Int_Tables_number 221
_symmetry_space_group_name_Hall '-P 4 2 3'
_cell_length_a 4.482
_cell_length_b 4.482
_cell_length_c 4.482
_cell_angle_alpha 90.00
_cell_angle_beta 90.00
_cell_angle_gamma 90.00
loop_
_atom_site_label
_atom_site_type_symbol
_atom_site_fract_x
_atom_site_fract_y
_atom_site_fract_z
Zr1 Zr 0.000 0.000 0.000
Co1 Co 0.000 0.000 0.500
Pd1 Pd 0.500 0.500 0.500
# - Size of the total moment: 2.82 μB/cell
# - Theoretical density: 6.91 g cm⁻³
# - Calculated formation energy: 1411 meV/atom
# - Polymorph energy (0 for the lowest one): 1.82 eV/f.u.

***

No. 8
# Te2RhBr, relaxed, DFT PBE
data_Te2RhBr
_symmetry_space_group_name_H-M 'R -3 m'
_symmetry_Int_Tables_number 166
_symmetry_space_group_name_Hall '-R 3 2"'
_cell_length_a 3.1336
_cell_length_b 3.1336
_cell_length_c 37.2900
_cell_angle_alpha 90.00
_cell_angle_beta 90.00
_cell_angle_gamma 120.00
loop_
_atom_site_label
_atom_site_type_symbol
_atom_site_fract_x
_atom_site_fract_y
_atom_site_fract_z
Te1 Te 0.0000 0.0000 0.0687
Rh1 Rh 0.0000 0.0000 0.0000
Br1 Br 0.0000 0.0000 0.5000
# - Size of the total moment: 0.00 μB/cell
# - Energy relative to the elements, uncorrected: 277 meV per atom
# - Theoretical density: 6.88 g cm⁻³